NiC7: relaxed, PBE.

Computed properties:
Energy of formation (kcal/mol of atoms): 86.48

The structure in CIF format:
```
data_NiC7
_symmetry_space_group_name_H-M 'P 1'
_symmetry_Int_Tables_number 1
_cell_length_a 4.413
_cell_length_b 4.413
_cell_length_c 4.413
_cell_angle_alpha 60.00
_cell_angle_beta 60.00
_cell_angle_gamma 60.00
loop_
_symmetry_equiv_pos_as_xyz
'x,y,z'
loop_
_atom_site_label
_atom_site_type_symbol
_atom_site_fract_x
_atom_site_fract_y
_atom_site_fract_z
C1 C 0.500 0.500 0.000
C2 C 0.000 0.000 0.500
C3 C 0.000 0.500 0.000
C4 C 0.500 0.000 0.500
C5 C 0.000 0.500 0.500
C6 C 0.500 0.000 0.000
C7 C 0.500 0.500 0.500
Ni1 Ni 0.000 0.000 0.000
```


Tb2SnBi: relaxed, PBE.

Computed properties:
Distance to the lowest polymorph of the same formula (eV per formula unit): 0.367
Energy of formation (kcal/mol of atoms): -16.22

The structure in CIF format:
```
data_Tb2SnBi
_symmetry_space_group_name_H-M 'P 1'
_symmetry_Int_Tables_number 1
_cell_length_a 4.319
_cell_length_b 4.319
_cell_length_c 8.092
_cell_angle_alpha 74.52
_cell_angle_beta 74.52
_cell_angle_gamma 60.00
loop_
_symmetry_equiv_pos_as_xyz
'x,y,z'
loop_
_atom_site_label
_atom_site_type_symbol
_atom_site_fract_x
_atom_site_fract_y
_atom_site_fract_z
Tb1 Tb 0.750 0.750 0.750
Tb2 Tb 0.250 0.250 0.250
Bi1 Bi 0.500 0.500 0.500
Sn1 Sn 0.000 0.000 0.000
```


BaMg11Ag: relaxed, PBE.

Computed properties:
Energy of formation (kcal/mol of atoms): -1.92

The structure in CIF format:
```
data_BaMg11Ag
_symmetry_space_group_name_H-M 'P 1'
_symmetry_Int_Tables_number 1
_cell_length_a 5.747
_cell_length_b 7.935
_cell_length_c 8.011
_cell_angle_alpha 83.14
_cell_angle_beta 68.98
_cell_angle_gamma 70.54
loop_
_symmetry_equiv_pos_as_xyz
'x,y,z'
loop_
_atom_site_label
_atom_site_type_symbol
_atom_site_fract_x
_atom_site_fract_y
_atom_site_fract_z
Mg1 Mg 0.500 0.000 0.500
Mg2 Mg 0.349 0.641 0.647
Mg3 Mg 0.710 0.772 0.783
Mg4 Mg 0.507 0.228 0.783
Mg5 Mg 0.493 0.772 0.217
Mg6 Mg 0.004 0.359 0.647
Mg7 Mg 0.000 0.500 0.000
Mg8 Mg 0.651 0.359 0.353
Mg9 Mg 0.290 0.228 0.217
Mg10 Mg 0.996 0.641 0.353
Mg11 Mg 0.000 0.000 0.500
Ag1 Ag 0.500 0.500 0.000
Ba1 Ba 0.000 0.000 0.000
```


TcSbAu2N: relaxed, PBE.

Computed properties:
Uncorrected formation energy (eV per atom): 1.0643

The structure in CIF format:
```
data_TcSbAu2N
_symmetry_space_group_name_H-M 'P 1'
_symmetry_Int_Tables_number 1
_cell_length_a 4.257
_cell_length_b 4.829
_cell_length_c 4.257
_cell_angle_alpha 90.00
_cell_angle_beta 90.00
_cell_angle_gamma 90.00
loop_
_symmetry_equiv_pos_as_xyz
'x,y,z'
loop_
_atom_site_label
_atom_site_type_symbol
_atom_site_fract_x
_atom_site_fract_y
_atom_site_fract_z
Au1 Au 0.500 0.000 0.000
Au2 Au 0.000 0.000 0.500
Sb1 Sb 0.000 0.500 0.000
N1 N 0.000 0.000 0.000
Tc1 Tc 0.500 0.500 0.500
```


Tb4CoRh: relaxed, PBE.

Computed properties:
Distance to the lowest polymorph of the same formula (eV per formula unit): 0.000
Energy of formation (kcal/mol of atoms): -8.72

The structure in CIF format:
```
data_Tb4CoRh
_symmetry_space_group_name_H-M 'P 1'
_symmetry_Int_Tables_number 1
_cell_length_a 6.208
_cell_length_b 7.307
_cell_length_c 7.935
_cell_angle_alpha 113.33
_cell_angle_beta 108.38
_cell_angle_gamma 99.48
loop_
_symmetry_equiv_pos_as_xyz
'x,y,z'
loop_
_atom_site_label
_atom_site_type_symbol
_atom_site_fract_x
_atom_site_fract_y
_atom_site_fract_z
Tb1 Tb 0.371 0.645 0.878
Tb2 Tb 0.993 0.767 0.122
Tb3 Tb 0.007 0.233 0.878
Tb4 Tb 0.793 0.689 0.641
Tb5 Tb 0.207 0.311 0.359
Tb6 Tb 0.348 0.952 0.641
Tb7 Tb 0.652 0.048 0.359
Tb8 Tb 0.629 0.355 0.122
Rh1 Rh 0.389 0.639 0.278
Rh2 Rh 0.611 0.361 0.722
Co1 Co 0.254 0.004 0.007
Co2 Co 0.746 0.996 0.993
```


BaGaCu3: relaxed, PBE.

Computed properties:
Distance to the lowest polymorph of the same formula (eV per formula unit): 6.948
Energy of formation (kcal/mol of atoms): 29.17

The structure in CIF format:
```
data_BaGaCu3
_symmetry_space_group_name_H-M 'P 1'
_symmetry_Int_Tables_number 1
_cell_length_a 5.814
_cell_length_b 5.814
_cell_length_c 5.814
_cell_angle_alpha 90.00
_cell_angle_beta 90.00
_cell_angle_gamma 90.00
loop_
_symmetry_equiv_pos_as_xyz
'x,y,z'
loop_
_atom_site_label
_atom_site_type_symbol
_atom_site_fract_x
_atom_site_fract_y
_atom_site_fract_z
Ba1 Ba 0.000 0.000 0.000
Cu1 Cu 0.000 0.500 0.000
Cu2 Cu 0.000 0.000 0.500
Cu3 Cu 0.500 0.000 0.000
Ga1 Ga 0.500 0.500 0.500
```


Y2OsPt: relaxed, PBE.

Computed properties:
Energy of formation (kcal/mol of atoms): -5.29

The structure in CIF format:
```
data_Y2OsPt
_symmetry_space_group_name_H-M 'P 1'
_symmetry_Int_Tables_number 1
_cell_length_a 8.192
_cell_length_b 8.192
_cell_length_c 8.192
_cell_angle_alpha 25.59
_cell_angle_beta 25.59
_cell_angle_gamma 25.59
loop_
_symmetry_equiv_pos_as_xyz
'x,y,z'
loop_
_atom_site_label
_atom_site_type_symbol
_atom_site_fract_x
_atom_site_fract_y
_atom_site_fract_z
Pt1 Pt 0.750 0.750 0.750
Y1 Y 0.999 0.999 0.999
Y2 Y 0.501 0.501 0.501
Os1 Os 0.250 0.250 0.250
```


Er8Tm2Pb: relaxed, PBE.

Computed properties:
Distance to the lowest polymorph of the same formula (eV per formula unit): 0.000
Energy of formation (kcal/mol of atoms): -1.21

The structure in CIF format:
```
data_Er8Tm2Pb
_symmetry_space_group_name_H-M 'P 1'
_symmetry_Int_Tables_number 1
_cell_length_a 5.495
_cell_length_b 6.356
_cell_length_c 9.996
_cell_angle_alpha 85.05
_cell_angle_beta 105.95
_cell_angle_gamma 90.00
loop_
_symmetry_equiv_pos_as_xyz
'x,y,z'
loop_
_atom_site_label
_atom_site_type_symbol
_atom_site_fract_x
_atom_site_fract_y
_atom_site_fract_z
Er1 Er 0.154 0.200 0.309
Er2 Er 0.579 0.404 0.159
Er3 Er 0.664 0.876 0.327
Er4 Er 0.954 0.272 0.909
Er5 Er 0.336 0.124 0.673
Er6 Er 0.046 0.728 0.091
Er7 Er 0.421 0.596 0.841
Er8 Er 0.846 0.800 0.691
Pb1 Pb 0.500 0.000 0.000
Tm1 Tm 0.756 0.337 0.512
Tm2 Tm 0.244 0.663 0.488
```


Ba5NaAg: relaxed, PBE.

Computed properties:
Energy of formation (kcal/mol of atoms): -0.11

The structure in CIF format:
```
data_Ba5NaAg
_symmetry_space_group_name_H-M 'P 1'
_symmetry_Int_Tables_number 1
_cell_length_a 8.365
_cell_length_b 8.365
_cell_length_c 13.782
_cell_angle_alpha 71.01
_cell_angle_beta 71.01
_cell_angle_gamma 61.12
loop_
_symmetry_equiv_pos_as_xyz
'x,y,z'
loop_
_atom_site_label
_atom_site_type_symbol
_atom_site_fract_x
_atom_site_fract_y
_atom_site_fract_z
Ag1 Ag 0.000 0.000 0.000
Ag2 Ag 0.000 0.000 0.500
Ba1 Ba 0.040 0.386 0.869
Ba2 Ba 0.614 0.960 0.631
Ba3 Ba 0.963 0.037 0.250
Ba4 Ba 0.792 0.458 0.465
Ba5 Ba 0.208 0.542 0.535
Ba6 Ba 0.037 0.963 0.750
Ba7 Ba 0.458 0.792 0.965
Ba8 Ba 0.542 0.208 0.035
Ba9 Ba 0.386 0.040 0.369
Ba10 Ba 0.960 0.614 0.131
Na1 Na 0.530 0.470 0.750
Na2 Na 0.470 0.530 0.250
```